1.
The following is a DFT calculation (PBE) of an optimized crystal structure of Er2TmPu.

Results
- polymorph energy (0 for the lowest one) (meV per atom) = 12
- density of states at the Fermi level (states/eV/cell) = 9.9
- crystal system = tetragonal
- DFT formation energy (kJ/mol of atoms) = 9.0
- volume (Å³ per atom) = 29.6
- space group = P4/mmm (123)

abc: 3.4557 3.4557 9.9100
angles: 90.00 90.00 90.00
With the nearest neighbours (Å) after each atom.
Atoms (fractional coordinates):
Er: 0.0000 0.0000 0.2468  4 Er 3.46, 4 Pu 3.46, 4 Tm 3.50
Er: 0.0000 0.0000 0.7532  4 Er 3.46, 4 Pu 3.46, 4 Tm 3.50
Tm: 0.5000 0.5000 0.5000  4 Tm 3.46, 8 Er 3.50
Pu: 0.5000 0.5000 0.0000  4 Pu 3.46, 8 Er 3.46

2.
The following is a DFT calculation (PBE) of an optimized crystal structure of TeIrRh.

Results
- ΔE_f (raw) (kcal/mol of atoms) = 8.4
- polymorph energy (0 for the lowest one) (meV per atom) = 255
- density of states at the Fermi level (states/eV/cell) = 4.4
- crystal system = orthorhombic
- volume (Å³ per atom) = 17.0
- space group = Imm2 (44)

abc: 5.1615 5.1615 5.1615
angles: 145.78 138.37 54.95
With the nearest neighbours (Å) after each atom.
Atoms (fractional coordinates):
Te: 0.0000 0.0000 0.0000  5 Ir 2.80-3.11, 5 Rh 2.82-3.07, 2 Te 3.04
Ir: 0.3393 0.3393 0.0000  5 Te 2.80-3.11, 5 Rh 2.87-2.98, 2 Ir 3.04
Rh: 0.6647 0.6647 0.0000  5 Te 2.82-3.07, 5 Ir 2.87-2.98, 2 Rh 3.04

3.
The following is a DFT calculation (PBE) of an optimized crystal structure of BaSb2Br.

Results
- ΔE_f (raw) (kcal/mol of atoms) = -20.6
- polymorph energy (0 for the lowest one) (meV per atom) = 26
- density of states at the Fermi level (states/eV/cell) = 1.2
- crystal system = tetragonal
- volume (Å³ per atom) = 35.7
- space group = P4mm (99)

abc: 4.0832 4.0832 8.5763
angles: 90.00 90.00 90.00
With the nearest neighbours (Å) after each atom.
Atoms (fractional coordinates):
Ba: 0.0000 0.0000 0.0000  4 Br 3.30, 1 Sb 3.66
Sb: 0.0000 0.0000 0.5732  4 Sb 3.10
Sb: 0.5000 0.5000 0.7036  4 Sb 3.10
Br: 0.5000 0.5000 0.1873  4 Ba 3.30

4.
The following is a DFT calculation (PBE) of an optimized crystal structure of NdEr2Th3As6.

Results
- density of states at the Fermi level (states/eV/cell) = 5.1
- crystal system = monoclinic
- DFT formation energy (kJ/mol of atoms) = -140.5
- volume (Å³ per atom) = 26.2
- space group = C2/m (12)

abc: 7.2956 7.2956 7.2415
angles: 99.69 99.69 119.93
With the nearest neighbours (Å) after each atom.
Atoms (fractional coordinates):
Nd: 0.0000 0.0000 0.0000  6 As 2.99
Er: 0.3326 0.6674 0.0000  6 As 2.92-2.93
Er: 0.6674 0.3326 0.0000  6 As 2.92-2.93
Th: 0.1649 0.8351 0.5000  6 As 2.97-3.01
Th: 0.5000 0.5000 0.5000  6 As 2.96-3.01
Th: 0.8351 0.1649 0.5000  6 As 2.97-3.01
As: 0.0816 0.4217 0.2446  2 Er 2.92-2.93, 3 Th 2.97-3.01, 1 Nd 2.99
As: 0.2595 0.2595 0.7575  2 Er 2.93, 3 Th 2.96-3.01, 1 Nd 2.99
As: 0.4217 0.0816 0.2446  2 Er 2.92-2.93, 3 Th 2.97-3.01, 1 Nd 2.99
As: 0.5783 0.9184 0.7554  2 Er 2.92-2.93, 3 Th 2.97-3.01, 1 Nd 2.99
As: 0.7405 0.7405 0.2425  2 Er 2.93, 3 Th 2.96-3.01, 1 Nd 2.99
As: 0.9184 0.5783 0.7554  2 Er 2.92-2.93, 3 Th 2.97-3.01, 1 Nd 2.99

5.
The following is a DFT calculation (PBE) of an optimized crystal structure of MnCrIn2N.

Results
- ΔE_f (raw) (kcal/mol of atoms) = 37.9
- density of states at the Fermi level (states/eV/cell) = 3.3
- crystal system = tetragonal
- volume (Å³ per atom) = 21.5
- space group = P4/mmm (123)

abc: 5.1901 5.1901 3.9850
angles: 90.00 90.00 90.00
With the nearest neighbours (Å) after each atom.
Atoms (fractional coordinates):
Mn: 0.0000 0.0000 0.0000  2 Cr 1.99
Cr: 0.0000 0.0000 0.5000  2 Mn 1.99
In: 0.0000 0.5000 0.5000  2 Cr 2.60
In: 0.5000 0.0000 0.5000  2 Cr 2.60
N: 0.5000 0.5000 0.0000  8 In 3.27